## Tb2Ho8Mg (PBE-GGA)

Data for Tb2Ho8Mg after structural relaxation.

Structure (CIF):
```
data_Tb2Ho8Mg
_chemical_formula_sum 'Tb2 Ho8 Mg1'
_space_group_name_H-M_alt 'P 1'
_space_group_IT_number 1
_cell_length_a 6.3746
_cell_length_b 9.3156
_cell_length_c 9.3156
_cell_angle_alpha 41.48
_cell_angle_beta 71.04
_cell_angle_gamma 71.04
loop_
_space_group_symop_operation_xyz
'x,y,z'
loop_
_atom_site_label
_atom_site_fract_x
_atom_site_fract_y
_atom_site_fract_z
Ho1 0.3159 0.7969 0.7969
Ho2 0.7135 0.6586 0.1480
Ho3 0.2491 0.4288 0.4288
Ho4 0.7135 0.1480 0.6586
Ho5 0.7509 0.5712 0.5712
Ho6 0.2865 0.3414 0.8520
Ho7 0.2865 0.8520 0.3414
Ho8 0.6841 0.2031 0.2031
Mg1 0.0000 0.0000 0.0000
Tb1 0.8826 0.7263 0.7263
Tb2 0.1174 0.2737 0.2737
```

Summary:
- calculated volume (Å³ per cell) = 343.6
- DFT total energy (eV per atom) = -4.12
- formation energy (eV per atom) = 0.192

## SmSiRh2 (PBE-GGA)

Data for SmSiRh2 after structural relaxation.

Structure (CIF):
```
data_SmSiRh2
_chemical_formula_sum 'Sm2 Si2 Rh4'
_space_group_name_H-M_alt 'P 1'
_space_group_IT_number 1
_cell_length_a 4.0713
_cell_length_b 4.1155
_cell_length_c 9.0161
_cell_angle_alpha 103.19
_cell_angle_beta 90.00
_cell_angle_gamma 90.00
loop_
_space_group_symop_operation_xyz
'x,y,z'
loop_
_atom_site_label
_atom_site_fract_x
_atom_site_fract_y
_atom_site_fract_z
Rh1 0.5000 0.7072 0.4144
Rh2 0.5000 0.0000 0.0000
Rh3 0.5000 0.2928 0.5856
Rh4 0.0000 0.5000 0.0000
Sm1 0.0000 0.8537 0.7073
Sm2 0.0000 0.1463 0.2927
Si1 0.5000 0.4240 0.8480
Si2 0.5000 0.5760 0.1520
```

Summary:
- calculated volume (Å³ per cell) = 147.1
- DFT total energy (eV per atom) = -7.14
- formation energy from raw total energies (meV/atom) = -926

## AcAlSn (PBE-GGA)

Data for AcAlSn after structural relaxation.

Structure (CIF):
```
data_AcAlSn
_chemical_formula_sum 'Ac1 Al1 Sn1'
_space_group_name_H-M_alt 'P 1'
_space_group_IT_number 1
_cell_length_a 4.8152
_cell_length_b 4.6073
_cell_length_c 4.6073
_cell_angle_alpha 120.00
_cell_angle_beta 90.00
_cell_angle_gamma 90.00
loop_
_space_group_symop_operation_xyz
'x,y,z'
loop_
_atom_site_label
_atom_site_fract_x
_atom_site_fract_y
_atom_site_fract_z
Sn1 0.2223 0.3333 0.6667
Al1 0.0972 0.0000 0.0000
Ac1 0.6805 0.6667 0.3333
```

Summary:
- calculated volume (Å³ per cell) = 88.5
- DFT total energy (eV per atom) = -4.50
- formation energy (eV per atom) = -0.544

## La6DyIn (PBE-GGA)

Data for La6DyIn after structural relaxation.

Structure (CIF):
```
data_La6DyIn
_chemical_formula_sum 'La6 Dy1 In1'
_space_group_name_H-M_alt 'P 1'
_space_group_IT_number 1
_cell_length_a 7.3330
_cell_length_b 7.3330
_cell_length_c 7.1910
_cell_angle_alpha 105.75
_cell_angle_beta 105.75
_cell_angle_gamma 120.05
loop_
_space_group_symop_operation_xyz
'x,y,z'
loop_
_atom_site_label
_atom_site_fract_x
_atom_site_fract_y
_atom_site_fract_z
La1 0.5528 0.0076 0.7575
La2 0.2454 0.2454 0.7573
La3 0.4472 0.9924 0.2425
La4 0.9924 0.4472 0.2425
La5 0.7546 0.7546 0.2427
La6 0.0076 0.5528 0.7575
In1 0.0000 0.0000 0.0000
Dy1 0.5000 0.5000 0.5000
```

Summary:
- calculated volume (Å³ per cell) = 281.0
- DFT total energy (eV per atom) = -4.48
- formation energy (eV per atom) = 0.133

## ErGa3Rh (PBE-GGA)

Data for ErGa3Rh after structural relaxation.

Structure (CIF):
```
data_ErGa3Rh
_chemical_formula_sum 'Er2 Ga6 Rh2'
_space_group_name_H-M_alt 'P 1'
_space_group_IT_number 1
_cell_length_a 5.6274
_cell_length_b 6.1473
_cell_length_c 6.1850
_cell_angle_alpha 119.80
_cell_angle_beta 89.95
_cell_angle_gamma 90.00
loop_
_space_group_symop_operation_xyz
'x,y,z'
loop_
_atom_site_label
_atom_site_fract_x
_atom_site_fract_y
_atom_site_fract_z
Ga1 0.2491 0.3865 0.1966
Ga2 0.7509 0.6135 0.8034
Ga3 0.7509 0.1899 0.8034
Ga4 0.2495 0.8077 0.6154
Ga5 0.7505 0.1923 0.3846
Ga6 0.2491 0.8101 0.1966
Rh1 0.0000 0.0000 0.0000
Rh2 0.5000 0.0000 0.0000
Er1 0.2529 0.3362 0.6725
Er2 0.7471 0.6638 0.3275
```

Summary:
- calculated volume (Å³ per cell) = 185.7
- DFT total energy (eV per atom) = -4.76
- formation energy (eV per atom) = -0.562

## RbSr2CaAs (PBE-GGA)

Data for RbSr2CaAs after structural relaxation.

Structure (CIF):
```
data_RbSr2CaAs
_chemical_formula_sum 'Rb1 Sr2 Ca1 As1'
_space_group_name_H-M_alt 'P 1'
_space_group_IT_number 1
_cell_length_a 6.2914
_cell_length_b 6.2914
_cell_length_c 5.9346
_cell_angle_alpha 90.00
_cell_angle_beta 90.00
_cell_angle_gamma 90.00
loop_
_space_group_symop_operation_xyz
'x,y,z'
loop_
_atom_site_label
_atom_site_fract_x
_atom_site_fract_y
_atom_site_fract_z
As1 0.0000 0.0000 0.0000
Rb1 0.5000 0.5000 0.5000
Sr1 0.0000 0.5000 0.0000
Sr2 0.5000 0.0000 0.0000
Ca1 0.0000 0.0000 0.5000
```

Summary:
- calculated volume (Å³ per cell) = 234.9
- DFT total energy (eV per atom) = -2.60
- formation energy (eV per atom) = -0.399

## Tb4Nd3Tm8 (PBE-GGA)

Data for Tb4Nd3Tm8 after structural relaxation.

Structure (CIF):
```
data_Tb4Nd3Tm8
_chemical_formula_sum 'Tb4 Nd3 Tm8'
_space_group_name_H-M_alt 'P 1'
_space_group_IT_number 1
_cell_length_a 6.6960
_cell_length_b 9.2411
_cell_length_c 9.2411
_cell_angle_alpha 87.87
_cell_angle_beta 111.18
_cell_angle_gamma 111.18
loop_
_space_group_symop_operation_xyz
'x,y,z'
loop_
_atom_site_label
_atom_site_fract_x
_atom_site_fract_y
_atom_site_fract_z
Nd1 0.5000 0.5000 0.5000
Nd2 0.5000 0.0000 0.5000
Nd3 0.5000 0.5000 0.0000
Tm1 0.5000 0.2533 0.7467
Tm2 0.4712 0.7341 0.7341
Tm3 0.0065 0.2641 0.2641
Tm4 0.5000 0.7467 0.2533
Tm5 0.0000 0.6384 0.3616
Tm6 0.5288 0.2659 0.2659
Tm7 0.9935 0.7359 0.7359
Tm8 0.0000 0.3616 0.6384
Tb1 0.5000 0.0000 0.0000
Tb2 0.0000 0.0000 0.5000
Tb3 0.0000 0.5000 0.0000
Tb4 0.0000 0.0000 0.0000
```

Summary:
- calculated volume (Å³ per cell) = 494.3
- DFT total energy (eV per atom) = -4.18
- formation energy (eV per atom) = 0.392

## La3Dy6Er2 (PBE-GGA)

Data for La3Dy6Er2 after structural relaxation.

Structure (CIF):
```
data_La3Dy6Er2
_chemical_formula_sum 'La3 Dy6 Er2'
_space_group_name_H-M_alt 'P 1'
_space_group_IT_number 1
_cell_length_a 5.6673
_cell_length_b 5.6673
_cell_length_c 13.4719
_cell_angle_alpha 77.86
_cell_angle_beta 77.86
_cell_angle_gamma 60.00
loop_
_space_group_symop_operation_xyz
'x,y,z'
loop_
_atom_site_label
_atom_site_fract_x
_atom_site_fract_y
_atom_site_fract_z
Dy1 0.8294 0.8294 0.5119
Dy2 0.1706 0.1706 0.4881
Dy3 0.9142 0.9142 0.2573
Dy4 0.7403 0.7403 0.7791
Dy5 0.2597 0.2597 0.2209
Dy6 0.0858 0.0858 0.7427
Er1 0.4561 0.4561 0.6318
Er2 0.5439 0.5439 0.3682
La1 0.3686 0.3686 0.8943
La2 0.6314 0.6314 0.1057
La3 0.0000 0.0000 0.0000
```

Summary:
- calculated volume (Å³ per cell) = 363.5
- DFT total energy (eV per atom) = -4.55
- formation energy (eV per atom) = 0.136

## MnV2RuC (PBE-GGA)

Data for MnV2RuC after structural relaxation.

Structure (CIF):
```
data_MnV2RuC
_chemical_formula_sum 'Mn1 V2 Ru1 C1'
_space_group_name_H-M_alt 'P 1'
_space_group_IT_number 1
_cell_length_a 3.9664
_cell_length_b 3.7328
_cell_length_c 3.9664
_cell_angle_alpha 90.00
_cell_angle_beta 90.00
_cell_angle_gamma 90.00
loop_
_space_group_symop_operation_xyz
'x,y,z'
loop_
_atom_site_label
_atom_site_fract_x
_atom_site_fract_y
_atom_site_fract_z
Mn1 0.0000 0.5000 0.0000
Ru1 0.5000 0.5000 0.5000
V1 0.5000 0.0000 0.0000
V2 0.0000 0.0000 0.5000
C1 0.0000 0.0000 0.0000
```

Summary:
- calculated volume (Å³ per cell) = 58.7
- DFT total energy (eV per atom) = -9.31
- formation energy (eV per atom) = -0.127

## TiCoSn2 (PBE-GGA)

Data for TiCoSn2 after structural relaxation.

Structure (CIF):
```
data_TiCoSn2
_chemical_formula_sum 'Ti1 Co1 Sn2'
_space_group_name_H-M_alt 'P 1'
_space_group_IT_number 1
_cell_length_a 3.1292
_cell_length_b 3.1292
_cell_length_c 9.6869
_cell_angle_alpha 80.71
_cell_angle_beta 80.71
_cell_angle_gamma 60.00
loop_
_space_group_symop_operation_xyz
'x,y,z'
loop_
_atom_site_label
_atom_site_fract_x
_atom_site_fract_y
_atom_site_fract_z
Sn1 0.9013 0.9013 0.2962
Sn2 0.0987 0.0987 0.7038
Co1 0.5000 0.5000 0.5000
Ti1 0.0000 0.0000 0.0000
```

Summary:
- calculated volume (Å³ per cell) = 80.7
- DFT total energy (eV per atom) = -5.43
- formation energy (eV per atom) = 0.319

## Cs2DyPdCl6 (PBE-GGA)

Data for Cs2DyPdCl6 after structural relaxation.

Structure (CIF):
```
data_Cs2DyPdCl6
_chemical_formula_sum 'Cs4 Dy2 Pd2 Cl12'
_space_group_name_H-M_alt 'P 1'
_space_group_IT_number 1
_cell_length_a 7.7509
_cell_length_b 7.7553
_cell_length_c 10.2879
_cell_angle_alpha 90.00
_cell_angle_beta 90.00
_cell_angle_gamma 90.00
loop_
_space_group_symop_operation_xyz
'x,y,z'
loop_
_atom_site_label
_atom_site_fract_x
_atom_site_fract_y
_atom_site_fract_z
Cl1 0.2407 0.5098 0.0000
Cl2 0.7407 0.0091 0.5000
Cl3 0.2407 0.9909 0.0000
Cl4 0.0000 0.7501 0.7418
Cl5 0.2593 0.4902 0.5000
Cl6 0.2593 0.0091 0.5000
Cl7 0.7593 0.9909 0.0000
Cl8 0.5000 0.2499 0.7582
Cl9 0.0000 0.7501 0.2582
Cl10 0.7593 0.5098 0.0000
Cl11 0.7407 0.4902 0.5000
Cl12 0.5000 0.2499 0.2418
Dy1 0.0000 0.7504 0.0000
Dy2 0.5000 0.2496 0.5000
Cs1 0.5000 0.7497 0.2501
Cs2 0.0000 0.2503 0.7501
Cs3 0.0000 0.2503 0.2499
Cs4 0.5000 0.7497 0.7499
Pd1 0.0000 0.7499 0.5000
Pd2 0.5000 0.2501 0.0000
```

Summary:
- calculated volume (Å³ per cell) = 618.4
- DFT total energy (eV per atom) = -3.98
- formation energy from raw total energies (meV/atom) = -1726

## DyPaCuOs (PBE-GGA)

Data for DyPaCuOs after structural relaxation.

Structure (CIF):
```
data_DyPaCuOs
_chemical_formula_sum 'Dy1 Pa1 Cu1 Os1'
_space_group_name_H-M_alt 'P 1'
_space_group_IT_number 1
_cell_length_a 4.8677
_cell_length_b 4.8677
_cell_length_c 4.8677
_cell_angle_alpha 60.00
_cell_angle_beta 60.00
_cell_angle_gamma 60.00
loop_
_space_group_symop_operation_xyz
'x,y,z'
loop_
_atom_site_label
_atom_site_fract_x
_atom_site_fract_y
_atom_site_fract_z
Os1 0.7500 0.7500 0.7500
Cu1 0.2500 0.2500 0.2500
Pa1 0.0000 0.0000 0.0000
Dy1 0.5000 0.5000 0.5000
```

Summary:
- calculated volume (Å³ per cell) = 81.6
- DFT total energy (eV per atom) = -7.51
- formation energy (eV per atom) = -0.154